This record from the Alexandria database describes NiS2ClO after structural relaxation. The functional is PBE with a Hubbard U.

Properties
Calculated total energy, eV/cell: -11.615
Magnetization, μB/f.u.: 0.0
ΔE to the lowest computed polymorph, eV per formula unit: 1.38
Space-group type: P4/mmm

Cell: 4.4084 4.4084 4.3629 Å, 90.00 90.00 90.00°
Closest atoms and distances in Å follow each position.
Positions (direct):
Ni 0.0000 0.0000 0.0000  2 Cl 2.18, 4 S 2.20
S 0.0000 0.5000 0.0000  2 Ni 2.20
S 0.5000 0.0000 0.0000  2 Ni 2.20
O 0.5000 0.5000 0.5000  8 S 3.10, 4 Cl 3.12
Cl 0.0000 0.0000 0.5000  2 Ni 2.18